[1]
Here is a geometry-optimized Li2PbS2 structure from the Alexandria database. Energies are from PBE-GGA.

CIF file:
```
data_Li2PbS2
_cell_length_a 3.8513
_cell_length_b 3.8513
_cell_length_c 12.7225
_cell_angle_alpha 90.00
_cell_angle_beta 90.00
_cell_angle_gamma 90.00
_space_group_name_H-M_alt 'I 4/m m m'
_space_group_IT_number 139
_space_group_name_Hall '-I 4 2'
loop_
_atom_site_label
_atom_site_fract_x
_atom_site_fract_y
_atom_site_fract_z
Li1 0.0000 0.5000 0.2500
Pb1 0.0000 0.0000 0.0000
S1 0.0000 0.0000 0.3659
```

## Properties
formation energy from raw total energies = -0.89 eV/atom
E = -40.50 eV for the cell shown
distance to the lowest polymorph of the same formula = 0 kJ/mol of formula units

[2]
Here is a geometry-optimized UMnMo structure from the Alexandria database. Energies are from PBE-GGA.

CIF file:
```
data_UMnMo
_cell_length_a 2.9007
_cell_length_b 2.9007
_cell_length_c 11.5312
_cell_angle_alpha 90.00
_cell_angle_beta 90.00
_cell_angle_gamma 90.00
_space_group_name_H-M_alt 'I 4 m m'
_space_group_IT_number 107
_space_group_name_Hall 'I 4 -2'
loop_
_atom_site_label
_atom_site_fract_x
_atom_site_fract_y
_atom_site_fract_z
U1 0.0000 0.0000 0.0000
Mn1 0.0000 0.0000 0.6725
Mo1 0.0000 0.0000 0.2973
```

## Properties
energy of formation = 0.172 eV per atom
E = -61.54 eV for the cell shown
distance to the lowest polymorph of the same formula = 0 kJ/mol of formula units

[3]
Here is a geometry-optimized Nd4HfP5 structure from the Alexandria database. Energies are from PBE-GGA.

CIF file:
```
data_Nd4HfP5
_cell_length_a 9.0790
_cell_length_b 9.0790
_cell_length_c 5.7725
_cell_angle_alpha 90.00
_cell_angle_beta 90.00
_cell_angle_gamma 90.00
_space_group_name_H-M_alt 'I 4'
_space_group_IT_number 79
_space_group_name_Hall 'I 4'
loop_
_atom_site_label
_atom_site_fract_x
_atom_site_fract_y
_atom_site_fract_z
Nd1 0.0959 0.3002 0.0000
Hf1 0.0000 0.0000 0.4985
P1 0.0000 0.0000 0.0012
P2 0.0947 0.2822 0.4999
```

## Properties
energy of formation = -1.451 eV per atom
E = -141.17 eV for the cell shown

[4]
Here is a geometry-optimized PrErAlGe structure from the Alexandria database. Energies are from PBE-GGA.

CIF file:
```
data_PrErAlGe
_cell_length_a 4.0806
_cell_length_b 4.4624
_cell_length_c 11.0627
_cell_angle_alpha 90.00
_cell_angle_beta 90.00
_cell_angle_gamma 90.00
_space_group_name_H-M_alt 'A m m 2'
_space_group_IT_number 38
_space_group_name_Hall 'A 2 -2'
loop_
_atom_site_label
_atom_site_fract_x
_atom_site_fract_y
_atom_site_fract_z
Pr1 0.0000 0.0000 0.0000
Er1 0.5000 0.0000 0.2814
Al1 0.0000 0.0000 0.7172
Ge1 0.5000 0.0000 0.5677
```

## Properties
energy of formation = -0.655 eV per atom
E = -40.65 eV for the cell shown

Q: Among the records above, which one has the highest E?
A: Li2PbS2